[1]
# Na3Y3SnO8 | Alexandria | PBE-GGA | optimized geometry
# Formation energy from raw total energies, eV/atom: -2.550
# Electronic total energy, eV for the cell shown: -315.82
# Density of states at the Fermi level, states/eV per cell: 0.00
data_Na3Y3SnO8
_cell_length_a 6.7893
_cell_length_b 6.7893
_cell_length_c 16.7677
_cell_angle_alpha 90.00
_cell_angle_beta 90.00
_cell_angle_gamma 120.00
_symmetry_space_group_name_H-M 'R -3 m'
_symmetry_Int_Tables_number 166
_symmetry_space_group_name_Hall '-R 3 2"'
loop_
_atom_site_label
_atom_site_fract_x
_atom_site_fract_y
_atom_site_fract_z
_atom_site_occupancy
Na1 0.0000 0.5000 0.0000 1
Y1 0.0000 0.5000 0.5000 1
Sn1 0.0000 0.0000 0.5000 1
O1 0.0000 0.0000 0.2351 1
O2 0.0248 0.5124 0.2339 1

[2]
# Na2YSnO | Alexandria | PBE-GGA | optimized geometry
# Formation energy from raw total energies, eV/atom: -0.510
# Electronic total energy, eV for the cell shown: -20.61
# Density of states at the Fermi level, states/eV per cell: 1.78
data_Na2YSnO
_cell_length_a 4.522
_cell_length_b 4.522
_cell_length_c 5.553
_cell_angle_alpha 90.00
_cell_angle_beta 90.00
_cell_angle_gamma 90.00
_symmetry_space_group_name_H-M 'P 4/m m m'
_symmetry_Int_Tables_number 123
_symmetry_space_group_name_Hall '-P 4 2'
loop_
_atom_site_label
_atom_site_fract_x
_atom_site_fract_y
_atom_site_fract_z
_atom_site_occupancy
Na1 0.000 0.500 0.000 1
Y1 0.000 0.000 0.500 1
Sn1 0.500 0.500 0.500 1
O1 0.500 0.500 0.000 1

[3]
# NaYSnO3 | Alexandria | PBE-GGA | optimized geometry
# Formation energy from raw total energies, eV/atom: -2.231
# Electronic total energy, eV for the cell shown: -80.09
# Density of states at the Fermi level, states/eV per cell: 0.00
data_NaYSnO3
_cell_length_a 6.265
_cell_length_b 3.407
_cell_length_c 10.556
_cell_angle_alpha 90.00
_cell_angle_beta 95.39
_cell_angle_gamma 90.00
_symmetry_space_group_name_H-M 'P 1 21/m 1'
_symmetry_Int_Tables_number 11
loop_
_symmetry_equiv_pos_as_xyz
'x,y,z'
'-x,-y,-z'
'-x,y+1/2,-z'
'x,-y+1/2,z'
loop_
_atom_site_label
_atom_site_fract_x
_atom_site_fract_y
_atom_site_fract_z
_atom_site_occupancy
Na1 0.147 0.250 0.310 1
Y1 0.381 0.250 0.614 1
Sn1 0.290 0.750 0.884 1
O1 0.134 0.250 0.773 1
O2 0.300 0.750 0.476 1
O3 0.496 0.250 0.254 1

[4]
# Na4Y3SnO8 | Alexandria | PBE-GGA | optimized geometry
# Formation energy from raw total energies, eV/atom: -2.419
# Electronic total energy, eV for the cell shown: -321.14
# Density of states at the Fermi level, states/eV per cell: 4.52
data_Na4Y3SnO8
_cell_length_a 6.8488
_cell_length_b 6.8488
_cell_length_c 16.8333
_cell_angle_alpha 90.00
_cell_angle_beta 90.00
_cell_angle_gamma 120.00
_symmetry_space_group_name_H-M 'R -3 m'
_symmetry_Int_Tables_number 166
_symmetry_space_group_name_Hall '-R 3 2"'
loop_
_atom_site_label
_atom_site_fract_x
_atom_site_fract_y
_atom_site_fract_z
_atom_site_occupancy
Na1 0.0000 0.0000 0.0000 1
Na2 0.0000 0.5000 0.0000 1
Y1 0.0000 0.5000 0.5000 1
Sn1 0.0000 0.0000 0.5000 1
O1 0.0000 0.0000 0.2365 1
O2 0.0002 0.5001 0.2378 1

[5]
# Na2Y2SnO6 | Alexandria | PBE-GGA | optimized geometry
# Formation energy from raw total energies, eV/atom: -2.441
# Electronic total energy, eV for the cell shown: -152.33
# Density of states at the Fermi level, states/eV per cell: 0.00
data_Na2Y2SnO6
_cell_length_a 5.847
_cell_length_b 10.114
_cell_length_c 5.917
_cell_angle_alpha 90.00
_cell_angle_beta 106.40
_cell_angle_gamma 90.00
_symmetry_space_group_name_H-M 'C 1 2/m 1'
_symmetry_Int_Tables_number 12
loop_
_symmetry_equiv_pos_as_xyz
'x,y,z'
'-x,-y,-z'
'-x,y,-z'
'x,-y,z'
'x+1/2,y+1/2,z'
'-x+1/2,-y+1/2,-z'
'-x+1/2,y+1/2,-z'
'x+1/2,-y+1/2,z'
loop_
_atom_site_label
_atom_site_fract_x
_atom_site_fract_y
_atom_site_fract_z
_atom_site_occupancy
Na1 0.000 0.155 0.000 1
Y1 0.000 0.335 0.500 1
Sn1 0.000 0.000 0.500 1
O1 0.209 0.161 0.696 1
O2 0.244 0.000 0.302 1

[6]
# Na2YSnO4 | Alexandria | PBE-GGA | optimized geometry
# Formation energy from raw total energies, eV/atom: -2.063
# Electronic total energy, eV for the cell shown: -49.44
# Density of states at the Fermi level, states/eV per cell: 1.93
data_Na2YSnO4
_cell_length_a 5.892
_cell_length_b 3.436
_cell_length_c 5.958
_cell_angle_alpha 90.00
_cell_angle_beta 109.37
_cell_angle_gamma 90.00
_symmetry_space_group_name_H-M 'P 1 2/m 1'
_symmetry_Int_Tables_number 10
loop_
_symmetry_equiv_pos_as_xyz
'x,y,z'
'-x,-y,-z'
'-x,y,-z'
'x,-y,z'
loop_
_atom_site_label
_atom_site_fract_x
_atom_site_fract_y
_atom_site_fract_z
_atom_site_occupancy
Na1 0.000 0.000 0.000 1
Na2 0.500 0.500 0.000 1
Y1 0.000 0.500 0.500 1
Sn1 0.500 0.000 0.500 1
O1 0.235 0.000 0.713 1
O2 0.268 0.500 0.288 1

[7]
# NaSr2O | Alexandria | PBE-GGA | optimized geometry
# Formation energy from raw total energies, eV/atom: -1.265
# Electronic total energy, eV for the cell shown: -58.80
# Density of states at the Fermi level, states/eV per cell: 9.72
data_NaSr2O
_cell_length_a 7.576
_cell_length_b 7.576
_cell_length_c 10.506
_cell_angle_alpha 90.00
_cell_angle_beta 90.00
_cell_angle_gamma 90.00
_symmetry_space_group_name_H-M 'I -4 2 d'
_symmetry_Int_Tables_number 122
_symmetry_space_group_name_Hall 'I -4 2bw'
loop_
_atom_site_label
_atom_site_fract_x
_atom_site_fract_y
_atom_site_fract_z
_atom_site_occupancy
Na1 0.000 0.000 0.000 1
Sr1 0.088 0.750 0.625 1
O1 0.000 0.000 0.500 1

[8]
# NaSrO | Alexandria | PBE-GGA | optimized geometry
# Formation energy from raw total energies, eV/atom: -1.596
# Electronic total energy, eV for the cell shown: -25.49
# Density of states at the Fermi level, states/eV per cell: 1.30
data_NaSrO
_cell_length_a 13.200
_cell_length_b 3.469
_cell_length_c 3.489
_cell_angle_alpha 90.00
_cell_angle_beta 90.32
_cell_angle_gamma 90.00
_symmetry_space_group_name_H-M 'C 1 m 1'
_symmetry_Int_Tables_number 8
loop_
_symmetry_equiv_pos_as_xyz
'x,y,z'
'x,-y,z'
'x+1/2,y+1/2,z'
'x+1/2,-y+1/2,z'
loop_
_atom_site_label
_atom_site_fract_x
_atom_site_fract_y
_atom_site_fract_z
_atom_site_occupancy
Na1 0.000 0.000 0.000 1
Sr1 0.288 0.000 0.497 1
O1 0.325 0.500 0.997 1

[9]
# Na2Sr4O | Alexandria | PBE-GGA | optimized geometry
# Formation energy from raw total energies, eV/atom: -0.616
# Electronic total energy, eV for the cell shown: -37.28
# Density of states at the Fermi level, states/eV per cell: 8.13
data_Na2Sr4O
_cell_length_a 5.244
_cell_length_b 5.244
_cell_length_c 19.190
_cell_angle_alpha 90.00
_cell_angle_beta 90.00
_cell_angle_gamma 90.00
_symmetry_space_group_name_H-M 'I 4/m m m'
_symmetry_Int_Tables_number 139
_symmetry_space_group_name_Hall '-I 4 2'
loop_
_atom_site_label
_atom_site_fract_x
_atom_site_fract_y
_atom_site_fract_z
_atom_site_occupancy
Na1 0.000 0.000 0.153 1
Sr1 0.000 0.000 0.346 1
Sr2 0.000 0.500 0.000 1
O1 0.000 0.000 0.500 1

[10]
# NaSr2O | Alexandria | PBE-GGA | optimized geometry
# Formation energy from raw total energies, eV/atom: -1.138
# Electronic total energy, eV for the cell shown: -42.58
# Density of states at the Fermi level, states/eV per cell: 7.79
data_NaSr2O
_cell_length_a 3.7803
_cell_length_b 3.7803
_cell_length_c 30.8784
_cell_angle_alpha 90.00
_cell_angle_beta 90.00
_cell_angle_gamma 120.00
_symmetry_space_group_name_H-M 'R -3 m'
_symmetry_Int_Tables_number 166
_symmetry_space_group_name_Hall '-R 3 2"'
loop_
_atom_site_label
_atom_site_fract_x
_atom_site_fract_y
_atom_site_fract_z
_atom_site_occupancy
Na1 0.0000 0.0000 0.0000 1
Sr1 0.0000 0.0000 0.1186 1
O1 0.0000 0.0000 0.5000 1

[11]
# NaSr4O | Alexandria | PBE-GGA | optimized geometry
# Formation energy from raw total energies, eV/atom: -0.860
# Electronic total energy, eV for the cell shown: -72.65
# Density of states at the Fermi level, states/eV per cell: 19.48
data_NaSr4O
_cell_length_a 12.250
_cell_length_b 8.103
_cell_length_c 10.688
_cell_angle_alpha 90.00
_cell_angle_beta 90.00
_cell_angle_gamma 90.00
_symmetry_space_group_name_H-M 'P n m a'
_symmetry_Int_Tables_number 62
loop_
_symmetry_equiv_pos_as_xyz
'x,y,z'
'-x,-y,-z'
'-x+1/2,-y,z+1/2'
'x+1/2,y,-z+1/2'
'x+1/2,-y+1/2,-z+1/2'
'-x+1/2,y+1/2,z+1/2'
'-x,y+1/2,-z'
'x,-y+1/2,z'
loop_
_atom_site_label
_atom_site_fract_x
_atom_site_fract_y
_atom_site_fract_z
_atom_site_occupancy
Na1 0.185 0.250 0.192 1
Sr1 0.065 0.018 0.821 1
Sr2 0.096 0.750 0.439 1
Sr3 0.225 0.250 0.563 1
O1 0.065 0.250 0.687 1

[12]
# NaSr3O3 | Alexandria | PBE-GGA | optimized geometry
# Formation energy from raw total energies, eV/atom: -2.093
# Electronic total energy, eV for the cell shown: -71.78
# Density of states at the Fermi level, states/eV per cell: 3.58
data_NaSr3O3
_cell_length_a 8.5660
_cell_length_b 8.5660
_cell_length_c 5.1075
_cell_angle_alpha 90.00
_cell_angle_beta 90.00
_cell_angle_gamma 120.00
_symmetry_space_group_name_H-M 'P 63/m'
_symmetry_Int_Tables_number 176
_symmetry_space_group_name_Hall '-P 6c'
loop_
_atom_site_label
_atom_site_fract_x
_atom_site_fract_y
_atom_site_fract_z
_atom_site_occupancy
Na1 0.3333 0.6667 0.2500 1
Sr1 0.1503 0.8223 0.7500 1
O1 0.1510 0.8227 0.2500 1